{"formula": "CrH3Se", "functional": "PBE-GGA", "state": "relaxed", "cell": [[3.511, 0.000, 0.000], [0.000, 3.511, 0.000], [0.000, 0.000, 3.511]], "species": ["Se", "H", "H", "H", "Cr"], "frac_coords": [[0.500, 0.500, 0.500], [0.000, 0.000, 0.500], [0.500, 0.000, 0.000], [0.000, 0.500, 0.000], [0.000, 0.000, 0.000]], "total_magnetization_mub_per_cell": 1.7, "dos_at_fermi_per_ev_atom": 0.5976, "volume_a3_per_atom": 8.7, "e_above_lowest_polymorph_ev_per_atom": 0.000}


{"formula": "CrHSe", "functional": "PBE-GGA", "state": "relaxed", "cell": [[7.595, -0.002, 0.999], [-2.614, 6.370, -0.051], [-1.719, -2.868, 5.376]], "species": ["H", "H", "H", "H", "H", "H", "Se", "Se", "Se", "Se", "Se", "Se", "Cr", "Cr", "Cr", "Cr", "Cr", "Cr"], "frac_coords": [[0.431, 0.883, 0.297], [0.569, 0.117, 0.703], [0.694, 0.185, 0.246], [0.306, 0.815, 0.754], [0.353, 0.699, 0.963], [0.647, 0.301, 0.037], [0.914, 0.484, 0.719], [0.372, 0.240, 0.389], [0.086, 0.516, 0.281], [0.628, 0.760, 0.611], [0.231, 0.224, 0.818], [0.769, 0.776, 0.182], [0.694, 0.078, 0.469], [0.591, 0.399, 0.824], [0.739, 0.472, 0.341], [0.306, 0.922, 0.531], [0.261, 0.528, 0.659], [0.409, 0.601, 0.176]], "total_magnetization_mub_per_cell": 17.8, "dos_at_fermi_per_ev_atom": 0.2988, "volume_a3_per_atom": 15.4, "e_tot_ev_per_atom": -5.594}


{"formula": "CrHSe3", "functional": "PBE-GGA", "state": "relaxed", "cell": [[-4.224, 0.186, -0.490], [-0.498, -2.671, 3.276], [-0.164, 3.308, 2.673]], "species": ["Se", "Se", "Se", "H", "Cr"], "frac_coords": [[0.000, 0.000, 0.500], [0.500, 0.000, 0.000], [0.000, 0.500, 0.000], [0.000, 0.000, 0.000], [0.500, 0.500, 0.500]], "total_magnetization_mub_per_cell": 0.0, "dos_at_fermi_per_ev_atom": 1.1859, "volume_a3_per_atom": 15.4, "e_above_lowest_polymorph_ev_per_atom": 0.412}


{"formula": "CrTcHSe2", "functional": "PBE-GGA", "state": "relaxed", "cell": [[-0.243, 2.509, 3.896], [-3.747, -2.635, 1.463], [2.898, -2.962, 2.089]], "species": ["Se", "Se", "H", "Cr", "Tc"], "frac_coords": [[0.000, 0.000, 0.500], [0.500, 0.000, 0.000], [0.500, 0.500, 0.500], [0.000, 0.000, 0.000], [0.000, 0.500, 0.000]], "total_magnetization_mub_per_cell": 2.2, "dos_at_fermi_per_ev_atom": 0.8331, "volume_a3_per_atom": 20.7, "e_tot_ev_per_atom": -4.881}


{"formula": "CrTeHSe2", "functional": "PBE-GGA", "state": "relaxed", "cell": [[4.550, 0.000, 0.000], [0.000, 4.550, 0.000], [0.000, 0.000, 5.452]], "species": ["Se", "Se", "H", "Cr", "Te"], "frac_coords": [[0.000, 0.500, 0.000], [0.500, 0.000, 0.000], [0.500, 0.500, 0.500], [0.000, 0.000, 0.000], [0.000, 0.000, 0.500]], "total_magnetization_mub_per_cell": 0.0, "dos_at_fermi_per_ev_atom": 1.1301, "volume_a3_per_atom": 22.6, "e_tot_ev_per_atom": -3.964}


{"formula": "CrTeH2Se", "functional": "PBE-GGA", "state": "relaxed", "cell": [[3.894, 0.000, 0.000], [0.000, 5.599, 0.000], [0.000, 0.000, 3.894]], "species": ["H", "H", "Te", "Se", "Cr"], "frac_coords": [[0.500, 0.000, 0.000], [0.000, 0.000, 0.500], [0.000, 0.500, 0.000], [0.500, 0.500, 0.500], [0.000, 0.000, 0.000]], "total_magnetization_mub_per_cell": 3.4, "dos_at_fermi_per_ev_atom": 0.3463, "volume_a3_per_atom": 17.0, "e_tot_ev_per_atom": -4.246}


{"formula": "CrSi2H", "functional": "PBE-GGA", "state": "relaxed", "cell": [[5.535, 0.000, 0.000], [0.000, 5.535, 0.000], [2.767, 2.767, 2.744]], "species": ["Si", "Si", "Si", "Si", "H", "H", "Cr", "Cr"], "frac_coords": [[0.212, 0.625, 0.250], [0.538, 0.125, 0.250], [0.875, 0.788, 0.750], [0.375, 0.462, 0.750], [0.500, 0.500, 0.000], [0.250, 0.750, 0.500], [0.750, 0.250, 0.500], [0.000, 0.000, 0.000]], "total_magnetization_mub_per_cell": 2.0, "dos_at_fermi_per_ev_atom": 0.1879, "volume_a3_per_atom": 10.5, "e_above_lowest_polymorph_ev_per_atom": 0.000}


{"formula": "CrSiH3", "functional": "PBE-GGA", "state": "relaxed", "cell": [[-1.623, -1.304, 2.551], [2.287, -2.355, 0.251], [1.725, 1.896, 2.067]], "species": ["H", "H", "H", "Si", "Cr"], "frac_coords": [[0.000, 0.500, 0.000], [0.500, 0.000, 0.000], [0.000, 0.000, 0.500], [0.000, 0.000, 0.000], [0.500, 0.500, 0.500]], "total_magnetization_mub_per_cell": 0.0, "dos_at_fermi_per_ev_atom": 0.5909, "volume_a3_per_atom": 7.1, "e_above_lowest_polymorph_ev_per_atom": 0.452}


{"formula": "CrSiH2", "functional": "PBE-GGA", "state": "relaxed", "cell": [[-0.217, 0.370, 3.585], [-0.849, 3.202, 1.436], [-3.214, 0.478, 1.575]], "species": ["Cr", "H", "H", "Si"], "frac_coords": [[0.500, 0.500, 0.500], [0.750, 0.750, 0.750], [0.250, 0.250, 0.250], [0.000, 0.000, 0.000]], "total_magnetization_mub_per_cell": 2.4, "dos_at_fermi_per_ev_atom": 0.5534, "volume_a3_per_atom": 8.3, "e_above_lowest_polymorph_ev_per_atom": 0.352}


{"formula": "Cr2SiH", "functional": "PBE-GGA", "state": "relaxed", "cell": [[2.682, 0.000, 0.000], [1.341, 2.322, 0.000], [1.341, 0.774, 6.058]], "species": ["H", "Cr", "Cr", "Si"], "frac_coords": [[0.000, 0.000, 0.000], [0.723, 0.723, 0.830], [0.277, 0.277, 0.170], [0.500, 0.500, 0.500]], "total_magnetization_mub_per_cell": 0.0, "dos_at_fermi_per_ev_atom": 0.8355, "volume_a3_per_atom": 9.4, "e_above_lowest_polymorph_ev_per_atom": 0.000}


{"formula": "Cr2SiH", "functional": "PBE-GGA", "state": "relaxed", "cell": [[4.385, 0.000, 0.000], [0.000, 4.385, 0.000], [2.193, 2.193, 4.691]], "species": ["Cr", "Cr", "Cr", "Cr", "H", "H", "Si", "Si"], "frac_coords": [[0.375, 0.625, 0.250], [0.375, 0.625, 0.750], [0.375, 0.125, 0.250], [0.875, 0.625, 0.750], [0.250, 0.750, 0.500], [0.500, 0.500, 0.000], [0.000, 0.000, 0.000], [0.750, 0.250, 0.500]], "total_magnetization_mub_per_cell": 0.0, "dos_at_fermi_per_ev_atom": 1.1147, "volume_a3_per_atom": 11.3, "e_above_lowest_polymorph_ev_per_atom": 0.498}


{"formula": "CrSiH3", "functional": "PBE-GGA", "state": "relaxed", "cell": [[3.372, 0.000, 0.000], [0.000, 3.372, 0.000], [0.000, 0.000, 3.372]], "species": ["Cr", "H", "H", "H", "Si"], "frac_coords": [[0.000, 0.000, 0.000], [0.500, 0.000, 0.000], [0.000, 0.000, 0.500], [0.000, 0.500, 0.000], [0.500, 0.500, 0.500]], "total_magnetization_mub_per_cell": 1.6, "dos_at_fermi_per_ev_atom": 0.4889, "volume_a3_per_atom": 7.7, "e_above_lowest_polymorph_ev_per_atom": 0.000}